Na3Sc2CoO6 | GGA+U | relaxed

The structure in POSCAR format:
```
Na3Sc2CoO6
1.0
2.720 -4.668 0.000
2.720 4.668 0.000
-1.825 0.000 5.468
Na Sc Co O
3 2 1 6
Cartesian
0.000 0.000 0.000
2.720 1.519 0.000
2.720 -1.519 0.000
1.808 3.116 2.734
1.808 -3.116 2.734
1.808 0.000 2.734
0.925 1.506 1.625
0.004 0.000 3.855
0.925 -1.506 1.625
2.691 1.506 3.842
3.611 0.000 1.613
2.691 -1.506 3.842
```

Properties
E = -6.5668 eV/atom